1.
KCa2Au9: relaxed, PBE.

Unit cell a=9.8518 b=9.8518 c=9.8518 alpha=33.75 beta=33.75 gamma=33.75
With the nearest neighbours (Å) after each atom.
Sites, in units of the cell vectors:
1 K 0.0000 0.0000 0.0000  6 Au 3.30
2 Ca 0.1414 0.1414 0.1414  12 Au 3.26-3.38, 3 Ca 3.59
3 Ca 0.8586 0.8586 0.8586  12 Au 3.26-3.38, 3 Ca 3.59
4 Au 0.0806 0.5880 0.5880  7 Au 2.81-2.91
5 Au 0.3332 0.3332 0.3332  6 Au 2.88-2.91
6 Au 0.4120 0.4120 0.9194  7 Au 2.81-2.91
7 Au 0.4120 0.9194 0.4120  7 Au 2.81-2.91
8 Au 0.5000 0.5000 0.5000  6 Au 2.81
9 Au 0.5880 0.0806 0.5880  7 Au 2.81-2.91
10 Au 0.5880 0.5880 0.0806  7 Au 2.81-2.91
11 Au 0.6668 0.6668 0.6668  6 Au 2.88-2.91
12 Au 0.9194 0.4120 0.4120  7 Au 2.81-2.91

## Properties
The calculated density is 11.9 Mg/m³. For the total energy, the calculation gives -0.1219 Ha/atom. The calculated volume comes out at 263 Å³/cell. Its symmetry is No. 166.

***

2.
GaCuSi: relaxed, PBE.

Unit cell a=5.9910 b=5.1107 c=6.0730 alpha=90.00 beta=90.00 gamma=90.00
With the nearest neighbours (Å) after each atom.
Sites, in units of the cell vectors:
1 Ga 0.0000 0.0000 0.0000  4 Cu 2.55-2.59, 2 Ga 2.56, 4 Si 2.72-2.83
2 Ga 0.0000 0.5000 0.0000  4 Cu 2.55-2.59, 2 Ga 2.56, 4 Si 2.72-2.83
3 Ga 0.5000 0.0000 0.5000  4 Cu 2.55-2.59, 2 Ga 2.56, 4 Si 2.72-2.83
4 Ga 0.5000 0.5000 0.5000  4 Cu 2.55-2.59, 2 Ga 2.56, 4 Si 2.72-2.83
5 Cu 0.1687 0.2500 0.3235  3 Si 2.37-2.62, 4 Ga 2.55-2.59
6 Cu 0.3313 0.7500 0.8235  3 Si 2.37-2.62, 4 Ga 2.55-2.59
7 Cu 0.6687 0.2500 0.1765  3 Si 2.37-2.62, 4 Ga 2.55-2.59
8 Cu 0.8313 0.7500 0.6765  3 Si 2.37-2.62, 4 Ga 2.55-2.59
9 Si 0.1123 0.7500 0.4017  3 Cu 2.37-2.62
10 Si 0.3877 0.2500 0.9017  3 Cu 2.37-2.62
11 Si 0.6123 0.7500 0.0983  3 Cu 2.37-2.62
12 Si 0.8877 0.2500 0.5983  3 Cu 2.37-2.62

## Properties
The value obtained for the uncorrected formation energy is 18.91 kJ/mol of atoms. The calculated density is 5.8 Mg/m³. For the total energy, the calculation gives -0.1465 Ha/atom. The calculated volume comes out at 186 Å³/cell. Its symmetry is No. 62.

***

3.
Rb2In4Sn3Ge: relaxed, PBE.

Unit cell a=5.1814 b=5.1814 c=11.9153 alpha=90.00 beta=90.00 gamma=90.00
With the nearest neighbours (Å) after each atom.
Sites, in units of the cell vectors:
1 Rb 0.0000 0.5000 0.2450  2 Ge 3.90, 6 Sn 3.90-3.95, 9 In 3.95-4.37
2 Rb 0.5000 0.0000 0.7550  2 Ge 3.90, 6 Sn 3.90-3.95, 9 In 3.95-4.37
3 In 0.0000 0.0000 0.5000  4 Sn 3.03
4 In 0.0000 0.5000 0.8786  3 Sn 2.94-2.97, 2 Ge 2.97
5 In 0.5000 0.0000 0.1214  3 Sn 2.94-2.97, 2 Ge 2.97
6 In 0.5000 0.5000 0.5000  4 Sn 3.03
7 Sn 0.0000 0.0000 0.0000  4 In 2.97
8 Sn 0.0000 0.5000 0.6321  5 In 2.94-3.03
9 Sn 0.5000 0.0000 0.3679  5 In 2.94-3.03
10 Ge 0.5000 0.5000 0.0000  4 In 2.97

## Properties
The calculated density is 5.5 Mg/m³. For the total energy, the calculation gives -0.1133 Ha/atom. The calculated volume comes out at 320 Å³/cell. Its symmetry is No. 115.

***

4.
ReMo2Rh: relaxed, PBE.

Unit cell a=3.9391 b=3.9391 c=7.8341 alpha=90.00 beta=90.00 gamma=90.00
With the nearest neighbours (Å) after each atom.
Sites, in units of the cell vectors:
1 Re 0.0000 0.0000 0.0000  8 Mo 2.78, 4 Rh 2.79
2 Re 0.5000 0.5000 0.5000  8 Mo 2.78, 4 Rh 2.79
3 Mo 0.0000 0.5000 0.2500  4 Re 2.78, 4 Rh 2.78, 4 Mo 2.79
4 Mo 0.0000 0.5000 0.7500  4 Re 2.78, 4 Rh 2.78, 4 Mo 2.79
5 Mo 0.5000 0.0000 0.2500  4 Re 2.78, 4 Rh 2.78, 4 Mo 2.79
6 Mo 0.5000 0.0000 0.7500  4 Re 2.78, 4 Rh 2.78, 4 Mo 2.79
7 Rh 0.0000 0.0000 0.5000  8 Mo 2.78, 4 Re 2.79
8 Rh 0.5000 0.5000 0.0000  8 Mo 2.78, 4 Re 2.79

## Properties
The calculated density is 13.1 Mg/m³. The excess energy over the best structure of this formula in the dataset is 16.2 meV per atom. For the total energy, the calculation gives -0.3805 Ha/atom. The calculated volume comes out at 122 Å³/cell. Its symmetry is No. 139.

***

Question: The lowest calculated volume belongs to which entry?
Answer: ReMo2Rh